Entry 1:
A plane-wave DFT calculation with GGA-PBE was carried out for a relaxed NbFe2CoPb crystal.

Cell and atoms, written as POSCAR:
```
NbFe2CoPb
1.0
4.3871 0.0000 0.0000
0.0000 4.7465 0.0000
0.0000 0.0000 4.3871
Pb Nb Co Fe
1 1 1 2
Direct
0.0000 0.5000 0.0000
0.5000 0.5000 0.5000
0.0000 0.0000 0.0000
0.0000 0.0000 0.5000
0.5000 0.0000 0.0000
```

Results
**ΔH_f (0 K)**: 1005 meV/atom
**Calculated volume**: 91.4 Å³ per cell
**Space-group type**: P4/mmm, No. 123
**Size of the total moment**: 1.230 μB/atom
**Density**: 8.6 Mg/m³

Entry 2:
A plane-wave DFT calculation with GGA-PBE was carried out for a relaxed U2HPt9 crystal.

Cell and atoms, written as POSCAR:
```
U2HPt9
1.0
-0.0145 4.1547 -0.0296
-1.8126 -0.0330 -3.7384
-10.3625 -0.0004 5.0243
U H Pt
2 1 9
Direct
0.0000 0.0000 0.3155
0.0000 0.0000 0.6845
0.0000 0.0000 0.0000
0.5000 0.5000 0.0000
0.5000 0.5000 0.3251
0.5000 0.5000 0.6749
0.5000 0.0000 0.1511
0.5000 0.0000 0.5000
0.5000 0.0000 0.8489
0.0000 0.5000 0.1511
0.0000 0.5000 0.5000
0.0000 0.5000 0.8489
```

Results
**Calculated volume**: 198.8 Å³ per cell
**Space-group type**: P4/mmm, No. 123
**Size of the total moment**: 0.161 μB/atom
**Density**: 18.7 Mg/m³

Entry 3:
A plane-wave DFT calculation with GGA-PBE was carried out for a relaxed KCr2Cd2 crystal.

Cell and atoms, written as POSCAR:
```
KCr2Cd2
1.0
-2.5047 2.5047 5.6236
2.5047 -2.5047 5.6236
2.5047 2.5047 -5.6236
K Cr Cd
1 2 2
Direct
0.0000 0.0000 0.0000
0.6291 0.6291 0.0000
0.3709 0.3709 0.0000
0.2500 0.7500 0.5000
0.7500 0.2500 0.5000
```

Results
**ΔH_f (0 K)**: 716 meV/atom
**Calculated volume**: 141.1 Å³ per cell
**Space-group type**: I4/mmm, No. 139
**Size of the total moment**: 1.868 μB/atom
**Density**: 4.3 Mg/m³

Entry 4:
A plane-wave DFT calculation with GGA-PBE was carried out for a relaxed Rb3CaSb2O6 crystal.

Cell and atoms, written as POSCAR:
```
Rb3CaSb2O6
1.0
-2.0917 0.3941 5.9762
-0.7548 -5.3796 -3.2766
6.6457 -2.4475 2.4875
Rb Ca Sb O
3 1 2 6
Direct
0.3333 0.6667 0.6560
0.6667 0.3333 0.3440
0.0000 0.0000 0.0000
0.0000 0.0000 0.5000
0.6667 0.3333 0.8014
0.3333 0.6667 0.1986
0.6520 0.8260 0.3095
0.1740 0.3480 0.3095
0.1740 0.8260 0.3095
0.8260 0.6520 0.6905
0.3480 0.1740 0.6905
0.8260 0.1740 0.6905
```

Results
**Calculated volume**: 261.6 Å³ per cell
**Space-group type**: P-3m1, No. 164
**Formation energy without anion corrections**: -20.33 eV per formula unit
**Size of the total moment**: 0.083 μB/atom
**Density**: 4.0 Mg/m³

Entry 5:
A plane-wave DFT calculation with GGA-PBE was carried out for a relaxed IrRu6Rh12 crystal.

Cell and atoms, written as POSCAR:
```
IrRu6Rh12
1.0
6.6058 1.2202 1.4618
0.2047 6.7144 1.4618
0.2047 0.2385 6.8675
Ir Ru Rh
1 6 12
Direct
0.0000 0.0000 0.0000
0.8047 0.8749 0.3686
0.6314 0.1953 0.1251
0.1251 0.6314 0.1953
0.1953 0.1251 0.6314
0.3686 0.8047 0.8749
0.8749 0.3686 0.8047
0.7931 0.5046 0.4513
0.4513 0.7931 0.5046
0.5046 0.4513 0.7931
0.2069 0.4954 0.5487
0.5487 0.2069 0.4954
0.4954 0.5487 0.2069
0.1484 0.9745 0.3376
0.0255 0.6624 0.8516
0.6624 0.8516 0.0255
0.8516 0.0255 0.6624
0.9745 0.3376 0.1484
0.3376 0.1484 0.9745
```

Results
**ΔH_f (0 K)**: 428 meV/atom
**Calculated volume**: 299.0 Å³ per cell
**Space-group type**: R-3, No. 148
**Size of the total moment**: 0.000 μB/atom
**Density**: 11.3 Mg/m³

Entry 6:
A plane-wave DFT calculation with GGA-PBE was carried out for a relaxed CsCd2TeC crystal.

Cell and atoms, written as POSCAR:
```
CsCd2TeC
1.0
7.2871 0.0000 0.0000
0.0000 6.8977 0.0000
0.0000 0.0000 7.2871
Cs C Te Cd
1 1 1 2
Direct
0.0000 0.0000 0.0000
0.5000 0.5000 0.5000
0.0000 0.5000 0.0000
0.0000 0.0000 0.5000
0.5000 0.0000 0.0000
```

Results
**Calculated volume**: 366.3 Å³ per cell
**Space-group type**: P4/mmm, No. 123
**Formation energy without anion corrections**: 9.22 eV per formula unit
**Size of the total moment**: 0.671 μB/atom
**Density**: 2.3 Mg/m³

Table of density of states at the Fermi level (states/eV/cell), in record order: 5.5; 13.5; 2.7; 5.2; 25.8; 9.4
Table of DFT total energy (eV per cell), in record order: -32.8; -84.9; -18.6; -63.2; -144.6; -5.8